Record 1
Material: TiHO
Method: DFT, PBE
State: optimized geometry

Energy relative to the lowest polymorph listed for this composition (meV per atom): 0

Cell: 3.0645 3.0645 7.8427 Å, 78.73 78.73 60.00°
Last column: nearest neighbours and their distance in Å.
Atoms (fractional coordinates):
O 0.5962 0.5962 0.2115  3 Ti 1.98
Ti 0.8905 0.8905 0.3286  4 H 1.86-1.93, 3 O 1.98
Ti 0.1095 0.1095 0.6714  4 H 1.86-1.93, 3 O 1.98
H 0.1906 0.1906 0.4281  4 Ti 1.86-1.93
O 0.4038 0.4038 0.7885  3 Ti 1.98
H 0.8094 0.8094 0.5719  4 Ti 1.86-1.93

***

Record 2
Material: Nd2Sm8Tm
Method: DFT, PBE
State: optimized geometry

Energy relative to the lowest polymorph listed for this composition (meV per atom): 139
E_form (eV per atom): 0.16

Cell: 6.7808 10.2880 10.2880 Å, 38.58 59.55 59.55°
Last column: nearest neighbours and their distance in Å.
Atoms (fractional coordinates):
Nd 0.4103 0.1955 0.1955  7 Sm 3.39-3.73, 1 Tm 3.76
Tm 0.0000 0.0000 0.0000  4 Sm 3.35
Sm 0.2286 0.3496 0.8238  5 Sm 3.22-3.57, 1 Tm 3.35, 1 Nd 3.46
Sm 0.8233 0.2435 0.2435  5 Sm 3.32-3.51, 4 Nd 3.39-3.67
Sm 0.7714 0.1762 0.6504  5 Sm 3.22-3.57, 1 Tm 3.35, 1 Nd 3.46
Sm 0.1767 0.7565 0.7565  5 Sm 3.32-3.51, 4 Nd 3.39-3.67
Sm 0.7714 0.6504 0.1762  5 Sm 3.22-3.57, 1 Tm 3.35, 1 Nd 3.46
Sm 0.2682 0.4097 0.4097  6 Sm 3.40-3.70, 1 Nd 3.73
Sm 0.2286 0.8238 0.3496  5 Sm 3.22-3.57, 1 Tm 3.35, 1 Nd 3.46
Nd 0.5897 0.8045 0.8045  7 Sm 3.39-3.73, 1 Tm 3.76
Sm 0.7318 0.5903 0.5903  6 Sm 3.40-3.70, 1 Nd 3.73

***

Record 3
Material: FeBi2IrC
Method: DFT, PBE
State: optimized geometry

E_form (eV per atom): 1.01

Cell: 5.5652 3.7567 5.5652 Å, 90.00 90.00 90.00°
Last column: nearest neighbours and their distance in Å.
Atoms (fractional coordinates):
C 0.0000 0.5000 0.0000  2 Ir 1.88
Ir 0.0000 0.0000 0.0000  2 C 1.88
Bi 0.5000 0.0000 0.0000  2 Ir 2.78
Fe 0.5000 0.5000 0.5000  8 Bi 3.36, 2 Fe 3.76
Bi 0.0000 0.0000 0.5000  2 Ir 2.78

***

Record 4
Material: Tb4Tm2Sn3O2
Method: DFT, PBE
State: optimized geometry

Energy relative to the elements, uncorrected (eV/atom): -1.497

Cell: 4.6660 4.6660 12.8210 Å, 100.48 100.48 90.00°
Last column: nearest neighbours and their distance in Å.
Atoms (fractional coordinates):
O 0.3980 0.3980 0.7961  1 Tm 2.26, 4 Tb 2.37
Sn 0.8199 0.8199 0.6398  5 Tm 3.14-3.32, 4 Tb 3.33
Tb 0.5841 0.0841 0.1683  2 O 2.37
Tb 0.0841 0.5841 0.1683  2 O 2.37
Tm 0.3067 0.3067 0.6133  1 O 2.26
Tb 0.4159 0.9159 0.8317  2 O 2.37
Sn 0.1801 0.1801 0.3602  5 Tm 3.14-3.32, 4 Tb 3.33
Sn 0.0000 0.0000 0.0000  8 Tb 3.13
Tb 0.9159 0.4159 0.8317  2 O 2.37
Tm 0.6933 0.6933 0.3867  1 O 2.26
O 0.6020 0.6020 0.2039  1 Tm 2.26, 4 Tb 2.37

***

Record 5
Material: Sc3RhO6
Method: DFT, PBE
State: optimized geometry

Energy relative to the elements, uncorrected (eV/atom): -2.819

Cell: 6.2088 6.2088 6.2088 Å, 91.78 91.78 91.78°
Last column: nearest neighbours and their distance in Å.
Atoms (fractional coordinates):
Sc 0.7483 0.4389 0.9285  6 O 2.08-2.21
O 0.0933 0.9239 0.6863  3 Sc 2.08-2.21, 1 Rh 2.09
O 0.4696 0.6007 0.8156  1 Rh 2.05, 3 Sc 2.10-2.14
Sc 0.2517 0.5611 0.0715  6 O 2.08-2.21
Sc 0.5611 0.0715 0.2517  6 O 2.08-2.21
Sc 0.9285 0.7483 0.4389  6 O 2.08-2.21
O 0.8156 0.4696 0.6007  1 Rh 2.05, 3 Sc 2.10-2.14
O 0.9239 0.6863 0.0933  3 Sc 2.08-2.21, 1 Rh 2.09
Rh 0.0000 0.0000 0.0000  6 O 2.09
O 0.9067 0.0761 0.3137  3 Sc 2.08-2.21, 1 Rh 2.09
Sc 0.4389 0.9285 0.7483  6 O 2.08-2.21
O 0.3137 0.9067 0.0761  3 Sc 2.08-2.21, 1 Rh 2.09
O 0.0761 0.3137 0.9067  3 Sc 2.08-2.21, 1 Rh 2.09
Rh 0.5000 0.5000 0.5000  6 O 2.05
O 0.6007 0.8156 0.4696  1 Rh 2.05, 3 Sc 2.10-2.14
O 0.3993 0.1844 0.5304  1 Rh 2.05, 3 Sc 2.10-2.14
Sc 0.0715 0.2517 0.5611  6 O 2.08-2.21
O 0.1844 0.5304 0.3993  1 Rh 2.05, 3 Sc 2.10-2.14
O 0.6863 0.0933 0.9239  3 Sc 2.08-2.21, 1 Rh 2.09
O 0.5304 0.3993 0.1844  1 Rh 2.05, 3 Sc 2.10-2.14

***

Record 6
Material: Al2PW
Method: DFT, PBE
State: optimized geometry

E_form (eV per atom): -0.05

Cell: 8.0491 8.0491 8.0491 Å, 21.90 21.90 21.90°
Last column: nearest neighbours and their distance in Å.
Atoms (fractional coordinates):
P 0.4964 0.4964 0.4964  3 W 2.44, 3 Al 2.58
W 0.7585 0.7585 0.7585  3 P 2.44
Al 0.2428 0.2428 0.2428  3 P 2.58, 3 Al 2.81
Al 0.0023 0.0023 0.0023  3 W 2.75, 9 Al 2.81-3.06

***

Record 7
Material: HfCd2FeNi
Method: DFT, PBE
State: optimized geometry

E_form (eV per atom): 0.65

Cell: 4.8078 4.6596 4.8078 Å, 90.00 90.00 90.00°
Last column: nearest neighbours and their distance in Å.
Atoms (fractional coordinates):
Fe 0.5000 0.5000 0.5000  8 Cd 3.35, 4 Hf 3.40
Cd 0.5000 0.0000 0.0000  2 Ni 2.40
Cd 0.0000 0.0000 0.5000  2 Ni 2.40
Hf 0.0000 0.5000 0.0000  2 Ni 2.33
Ni 0.0000 0.0000 0.0000  2 Hf 2.33, 4 Cd 2.40

***

Record 8
Material: Dy2ZnPt3
Method: DFT, PBE
State: optimized geometry

Energy relative to the lowest polymorph listed for this composition (meV per atom): 87
E_form (eV per atom): -0.97

Cell: 5.7189 5.7189 8.4314 Å, 104.95 104.95 103.86°
Last column: nearest neighbours and their distance in Å.
Atoms (fractional coordinates):
Dy 0.7500 0.2500 0.5000  8 Pt 3.06-3.11, 4 Zn 3.13
Dy 0.2500 0.7500 0.5000  8 Pt 3.06-3.11, 4 Zn 3.13
Dy 0.2475 0.2475 0.0000  10 Pt 3.10-3.21, 2 Zn 3.12
Pt 0.3473 0.8269 0.1742  1 Zn 2.48, 2 Pt 2.67
Dy 0.7525 0.7525 0.0000  10 Pt 3.10-3.21, 2 Zn 3.12
Zn 0.6670 0.6670 0.3339  3 Pt 2.48-2.49
Pt 0.1706 0.1706 0.3413  1 Zn 2.49, 2 Pt 2.67
Pt 0.8269 0.3473 0.1742  1 Zn 2.48, 2 Pt 2.67
Pt 0.6527 0.1731 0.8258  1 Zn 2.48, 2 Pt 2.67
Pt 0.8294 0.8294 0.6587  1 Zn 2.49, 2 Pt 2.67
Pt 0.1731 0.6527 0.8258  1 Zn 2.48, 2 Pt 2.67
Zn 0.3330 0.3330 0.6661  3 Pt 2.48-2.49

***

Record 9
Material: KIrW
Method: DFT, PBE
State: optimized geometry

Energy relative to the lowest polymorph listed for this composition (meV per atom): 57
E_form (eV per atom): 0.73

Cell: 7.3626 7.3626 7.3626 Å, 154.85 154.85 35.87°
Last column: nearest neighbours and their distance in Å.
Atoms (fractional coordinates):
W 0.6190 0.6190 0.0000  4 Ir 2.53
Ir 0.0381 0.0381 0.0000  4 W 2.53
K 0.3428 0.3428 0.0000  4 K 3.21, 4 Ir 3.55

***

Record 10
Material: BaAuS
Method: DFT, PBE
State: optimized geometry

Energy relative to the elements, uncorrected (eV/atom): -1.184

Cell: 4.4416 9.3928 8.3909 Å, 90.00 90.00 90.00°
Last column: nearest neighbours and their distance in Å.
Atoms (fractional coordinates):
Au 0.2500 0.4164 0.5200  1 S 2.49, 2 Au 2.74
Ba 0.7500 0.1688 0.3380  5 S 3.18-3.26
S 0.7500 0.8327 0.3791  1 Au 2.49
S 0.2500 0.1673 0.6209  1 Au 2.49
Ba 0.7500 0.3312 0.8380  5 S 3.18-3.26
Au 0.7500 0.9164 0.9800  1 S 2.49, 2 Au 2.74
Ba 0.2500 0.6688 0.1620  5 S 3.18-3.26
S 0.7500 0.6673 0.8791  1 Au 2.49
Au 0.2500 0.0836 0.0200  1 S 2.49, 2 Au 2.74
S 0.2500 0.3327 0.1209  1 Au 2.49
Ba 0.2500 0.8312 0.6620  5 S 3.18-3.26
Au 0.7500 0.5836 0.4800  1 S 2.49, 2 Au 2.74

***

Record 11
Material: Li7Ag3Sn
Method: DFT, PBE
State: optimized geometry

Energy relative to the lowest polymorph listed for this composition (meV per atom): 0
E_form (eV per atom): -0.14

Cell: 2.9861 13.2750 10.2326 Å, 90.00 90.00 96.46°
Last column: nearest neighbours and their distance in Å.
Atoms (fractional coordinates):
Li 0.6397 0.2794 0.8835  3 Li 2.59-2.83, 4 Ag 2.76-2.82
Li 0.4503 0.9007 0.4855  3 Li 2.59-2.71, 2 Ag 2.77, 2 Sn 2.84
Li 0.4503 0.9007 0.0145  3 Li 2.59-2.71, 2 Ag 2.77, 2 Sn 2.84
Li 0.5430 0.0860 0.2500  4 Li 2.71-2.99, 2 Sn 2.91, 4 Ag 2.93
Li 0.5497 0.0993 0.9855  3 Li 2.59-2.71, 2 Ag 2.77, 2 Sn 2.84
Ag 0.2107 0.4213 0.7500  6 Li 2.63-2.76
Li 0.3603 0.7206 0.3835  3 Li 2.59-2.83, 4 Ag 2.76-2.82
Li 0.7111 0.4222 0.0903  3 Ag 2.63-2.78, 1 Li 2.83
Sn 0.9485 0.8970 0.2500  10 Li 2.84-3.08, 2 Sn 2.99
Ag 0.7893 0.5787 0.2500  6 Li 2.63-2.76
Ag 0.8773 0.7546 0.6135  8 Li 2.77-2.93, 3 Ag 2.79-2.99
Li 0.3603 0.7206 0.1165  3 Li 2.59-2.83, 4 Ag 2.76-2.82
Li 0.5497 0.0993 0.5145  3 Li 2.59-2.71, 2 Ag 2.77, 2 Sn 2.84
Ag 0.1227 0.2454 0.3865  8 Li 2.77-2.93, 3 Ag 2.79-2.99
Li 0.6397 0.2794 0.6165  3 Li 2.59-2.83, 4 Ag 2.76-2.82
Li 0.7111 0.4222 0.4097  3 Ag 2.63-2.78, 1 Li 2.83
Ag 0.1227 0.2454 0.1135  8 Li 2.77-2.93, 3 Ag 2.79-2.99
Li 0.2889 0.5778 0.5903  3 Ag 2.63-2.78, 1 Li 2.83
Li 0.2889 0.5778 0.9097  3 Ag 2.63-2.78, 1 Li 2.83
Ag 0.8773 0.7546 0.8865  8 Li 2.77-2.93, 3 Ag 2.79-2.99
Sn 0.0515 0.1030 0.7500  10 Li 2.84-3.08, 2 Sn 2.99
Li 0.4570 0.9140 0.7500  4 Li 2.71-2.99, 2 Sn 2.91, 4 Ag 2.93

***

Record 12
Material: CdGeS2
Method: DFT, PBE
State: optimized geometry

Energy relative to the elements, uncorrected (eV/atom): -0.255

Cell: 5.9694 5.9694 7.4253 Å, 66.30 66.30 90.00°
Last column: nearest neighbours and their distance in Å.
Atoms (fractional coordinates):
S 0.8750 0.8821 0.7500  2 Cd 2.58, 2 Ge 2.63
Ge 0.5000 0.5000 0.0000  4 S 2.63
Ge 0.2500 0.7500 0.5000  4 S 2.63
Cd 0.7500 0.2500 0.5000  4 S 2.58
S 0.6321 0.1250 0.2500  2 Cd 2.58, 2 Ge 2.63
Cd 0.0000 0.0000 0.0000  4 S 2.58
S 0.3750 0.3679 0.7500  2 Cd 2.58, 2 Ge 2.63
S 0.1179 0.6250 0.2500  2 Cd 2.58, 2 Ge 2.63

***

Which formula does entry 10 have?
BaAuS

***

Please write out number 11 again, unchanged.
Material: Li7Ag3Sn
Method: DFT, PBE
State: optimized geometry

Energy relative to the lowest polymorph listed for this composition (meV per atom): 0
E_form (eV per atom): -0.14

Cell: 2.9861 13.2750 10.2326 Å, 90.00 90.00 96.46°
Last column: nearest neighbours and their distance in Å.
Atoms (fractional coordinates):
Li 0.6397 0.2794 0.8835  3 Li 2.59-2.83, 4 Ag 2.76-2.82
Li 0.4503 0.9007 0.4855  3 Li 2.59-2.71, 2 Ag 2.77, 2 Sn 2.84
Li 0.4503 0.9007 0.0145  3 Li 2.59-2.71, 2 Ag 2.77, 2 Sn 2.84
Li 0.5430 0.0860 0.2500  4 Li 2.71-2.99, 2 Sn 2.91, 4 Ag 2.93
Li 0.5497 0.0993 0.9855  3 Li 2.59-2.71, 2 Ag 2.77, 2 Sn 2.84
Ag 0.2107 0.4213 0.7500  6 Li 2.63-2.76
Li 0.3603 0.7206 0.3835  3 Li 2.59-2.83, 4 Ag 2.76-2.82
Li 0.7111 0.4222 0.0903  3 Ag 2.63-2.78, 1 Li 2.83
Sn 0.9485 0.8970 0.2500  10 Li 2.84-3.08, 2 Sn 2.99
Ag 0.7893 0.5787 0.2500  6 Li 2.63-2.76
Ag 0.8773 0.7546 0.6135  8 Li 2.77-2.93, 3 Ag 2.79-2.99
Li 0.3603 0.7206 0.1165  3 Li 2.59-2.83, 4 Ag 2.76-2.82
Li 0.5497 0.0993 0.5145  3 Li 2.59-2.71, 2 Ag 2.77, 2 Sn 2.84
Ag 0.1227 0.2454 0.3865  8 Li 2.77-2.93, 3 Ag 2.79-2.99
Li 0.6397 0.2794 0.6165  3 Li 2.59-2.83, 4 Ag 2.76-2.82
Li 0.7111 0.4222 0.4097  3 Ag 2.63-2.78, 1 Li 2.83
Ag 0.1227 0.2454 0.1135  8 Li 2.77-2.93, 3 Ag 2.79-2.99
Li 0.2889 0.5778 0.5903  3 Ag 2.63-2.78, 1 Li 2.83
Li 0.2889 0.5778 0.9097  3 Ag 2.63-2.78, 1 Li 2.83
Ag 0.8773 0.7546 0.8865  8 Li 2.77-2.93, 3 Ag 2.79-2.99
Sn 0.0515 0.1030 0.7500  10 Li 2.84-3.08, 2 Sn 2.99
Li 0.4570 0.9140 0.7500  4 Li 2.71-2.99, 2 Sn 2.91, 4 Ag 2.93

***

Number 5 is which compound?
Sc3RhO6